Compound: TlH3F
Source: Alexandria via LeMat-Bulk
Functional: PBE-GGA
Structure: optimized geometry

The structure in POSCAR format:
```
TlH3F
1.0
3.776 0.000 0.000
0.000 3.776 0.000
0.000 0.000 3.776
H F Tl
3 1 1
Cartesian
0.000 0.000 1.888 H
1.888 0.000 0.000 H
0.000 1.888 0.000 H
0.000 0.000 0.000 F
1.888 1.888 1.888 Tl
```

E_tot = -10.90 eV per cell